# 1
The following is a DFT calculation (PBE) of a relaxed K2YSb crystal.

abc: 4.6814 4.6814 11.3663
angles: 101.53 101.53 59.91
Fractional positions:
K 0.0000 0.0000 0.0000
K 0.2068 0.2068 0.6296
Y 0.7702 0.7702 0.3109
Sb 0.4743 0.4743 0.4257



# 2
The following is a DFT calculation (PBE) of a relaxed K2YSb crystal.

abc: 7.2029 7.2029 7.2029
angles: 142.27 141.69 54.86
Fractional positions:
K 0.2443 0.2443 0.0000
K 0.7557 0.7557 0.0000
Y 0.5000 0.0000 0.5000
Sb 0.0000 0.5000 0.5000



# 3
The following is a DFT calculation (PBE) of a relaxed KY4Sb crystal.

abc: 6.6736 6.6736 6.6736
angles: 60.00 60.00 60.00
Fractional positions:
K 0.0000 0.0000 0.0000
Y 0.3761 0.3761 0.3761
Y 0.3761 0.3761 0.8718
Y 0.3761 0.8718 0.3761
Y 0.8718 0.3761 0.3761
Sb 0.7500 0.7500 0.7500



# 4
The following is a DFT calculation (PBE) of a relaxed K2YSb crystal.

abc: 4.3304 4.2679 10.7371
angles: 90.00 101.50 90.00
Fractional positions:
K 0.0000 0.0000 0.0000
K 0.3183 0.5000 0.6414
Y 0.6538 0.5000 0.3083
Sb 0.1722 0.0000 0.3456



Energy relative to the elements, uncorrected for every record listed, in sequence, given in meV per atom: -272 -144 322 -360.
DFT total energy for every record listed, in sequence, given in Ry/atom: -0.2548 -0.2455 -0.3570 -0.2613.